[1]
This record from Alexandria describes an optimized crystal structure of NaSrLi2. The functional is PBE.

a b c (Å): 11.0670 11.0670 11.0670
angles (deg): 20.17 20.17 20.17
Closest atoms and distances in Å follow each position.
Fractional coordinates of all 4 atoms:
Na 0.0000 0.0000 0.0000  6 Li 3.39
Sr 0.8330 0.8330 0.8330  6 Li 3.64-3.65, 6 Sr 3.88
Li 0.4115 0.4115 0.4115  3 Na 3.39, 3 Sr 3.64
Li 0.5882 0.5882 0.5882  3 Na 3.39, 3 Sr 3.65

* space-group type: R3m, No. 160
* offset from the most stable computed form: 76 meV per atom
* formation energy from the elements: 0.14 eV/atom


[2]
This record from Alexandria describes an optimized crystal structure of Pm3Nd6Tm2Mg. The functional is PBE.

a b c (Å): 6.2889 6.2889 11.8501
angles (deg): 95.11 95.11 120.07
Closest atoms and distances in Å follow each position.
Fractional coordinates of all 12 atoms:
Pm 0.0000 0.0000 0.0000  6 Pm 3.63, 6 Nd 3.64-3.65
Pm 0.3331 0.6669 0.0000  6 Pm 3.63-3.64, 6 Nd 3.64-3.66
Pm 0.6669 0.3331 0.0000  6 Pm 3.63-3.64, 6 Nd 3.64-3.66
Nd 0.0879 0.4202 0.2564  1 Mg 3.52, 2 Tm 3.53-3.54, 6 Nd 3.62-3.64, 3 Pm 3.65-3.66
Nd 0.2476 0.2476 0.7452  2 Tm 3.54, 1 Mg 3.55, 6 Nd 3.62-3.64, 3 Pm 3.64
Nd 0.4202 0.0879 0.2564  1 Mg 3.52, 2 Tm 3.53-3.54, 6 Nd 3.62-3.64, 3 Pm 3.65-3.66
Nd 0.5798 0.9121 0.7436  1 Mg 3.52, 2 Tm 3.53-3.54, 6 Nd 3.62-3.64, 3 Pm 3.65-3.66
Nd 0.7524 0.7524 0.2548  2 Tm 3.54, 1 Mg 3.55, 6 Nd 3.62-3.64, 3 Pm 3.64
Nd 0.9121 0.5798 0.7436  1 Mg 3.52, 2 Tm 3.53-3.54, 6 Nd 3.62-3.64, 3 Pm 3.65-3.66
Tm 0.1663 0.8337 0.5000  6 Nd 3.53-3.54, 3 Tm 3.62-3.63, 3 Mg 3.63-3.64
Tm 0.8337 0.1663 0.5000  6 Nd 3.53-3.54, 3 Tm 3.62-3.63, 3 Mg 3.63-3.64
Mg 0.5000 0.5000 0.5000  6 Nd 3.52-3.55, 6 Tm 3.63-3.64

* space-group type: C2/m, No. 12
* formation energy from the elements: 0.03 eV/atom


[3]
This record from Alexandria describes an optimized crystal structure of CrIn3C. The functional is PBE.

a b c (Å): 5.2162 5.2162 5.2162
angles (deg): 90.00 90.00 90.00
Closest atoms and distances in Å follow each position.
Fractional coordinates of all 5 atoms:
Cr 0.0000 0.0000 0.0000  6 In 2.61
In 0.0000 0.0000 0.5000  2 Cr 2.61
In 0.0000 0.5000 0.0000  2 Cr 2.61
In 0.5000 0.0000 0.0000  2 Cr 2.61
C 0.5000 0.5000 0.5000  12 In 3.69

* space-group type: Pm-3m, No. 221
* offset from the most stable computed form: 261 meV per atom
* formation energy from the elements: 1.70 eV/atom


[4]
This record from Alexandria describes an optimized crystal structure of SrTa2Zn. The functional is PBE.

a b c (Å): 2.9385 2.9385 9.6998
angles (deg): 90.00 90.00 90.00
Closest atoms and distances in Å follow each position.
Fractional coordinates of all 4 atoms:
Sr 0.0000 0.0000 0.0000  4 Sr 2.94, 4 Zn 3.27
Ta 0.0000 0.0000 0.5351  4 Zn 2.88, 8 Ta 2.94-3.03
Ta 0.5000 0.5000 0.3084  8 Ta 2.94-3.03
Zn 0.5000 0.5000 0.7400  4 Ta 2.88, 4 Zn 2.94

* space-group type: P4mm, No. 99
* formation energy from the elements: 0.45 eV/atom


[5]
This record from Alexandria describes an optimized crystal structure of LaFeMo2. The functional is PBE.

a b c (Å): 3.2669 3.2620 7.2024
angles (deg): 90.00 90.08 90.00
Closest atoms and distances in Å follow each position.
Fractional coordinates of all 4 atoms:
La 0.0000 0.0000 0.0000  4 La 3.26-3.27, 8 Mo 3.33, 2 Fe 3.60
Fe 0.0000 0.0000 0.5000  8 Mo 2.60
Mo 0.4998 0.5000 0.3332  1 Mo 2.40, 4 Fe 2.60
Mo 0.5002 0.5000 0.6668  1 Mo 2.40, 4 Fe 2.60

* space-group type: P2/m, No. 10
* offset from the most stable computed form: 0 meV per atom
* formation energy from the elements: 0.45 eV/atom


[6]
This record from Alexandria describes an optimized crystal structure of Er4SnGe2. The functional is PBE.

a b c (Å): 7.7219 7.7219 7.7219
angles (deg): 109.11 109.11 110.19
Closest atoms and distances in Å follow each position.
Fractional coordinates of all 14 atoms:
Er 0.1128 0.5039 0.7449  2 Ge 2.88-2.93, 1 Sn 3.01
Er 0.1179 0.0090 0.7551  2 Ge 2.88-2.93, 1 Sn 3.01
Er 0.2539 0.3628 0.2449  2 Ge 2.88-2.93, 1 Sn 3.01
Er 0.4961 0.2410 0.6089  2 Ge 2.88-2.93, 1 Sn 3.01
Er 0.6321 0.8872 0.3911  2 Ge 2.88-2.93, 1 Sn 3.01
Er 0.6372 0.8821 0.8911  2 Ge 2.88-2.93, 1 Sn 3.01
Er 0.7590 0.3679 0.2551  2 Ge 2.88-2.93, 1 Sn 3.01
Er 0.9910 0.7461 0.1089  2 Ge 2.88-2.93, 1 Sn 3.01
Sn 0.2500 0.7500 0.5000  8 Er 3.01-3.25
Sn 0.5000 0.5000 0.0000  8 Er 3.01-3.25
Ge 0.0039 0.1250 0.3789  4 Er 2.88-2.93
Ge 0.3750 0.9961 0.1211  4 Er 2.88-2.93
Ge 0.7461 0.6250 0.6211  4 Er 2.88-2.93
Ge 0.8750 0.2539 0.8789  4 Er 2.88-2.93

* space-group type: I-42d, No. 122
* formation energy from the elements: -0.79 eV/atom


[7]
This record from Alexandria describes an optimized crystal structure of PmPaAgO6. The functional is PBE.

a b c (Å): 5.5654 5.5654 4.9526
angles (deg): 90.00 90.00 120.00
Closest atoms and distances in Å follow each position.
Fractional coordinates of all 9 atoms:
Pm 0.0000 0.0000 0.0000  6 O 2.35
Pa 0.6667 0.3333 0.5000  6 O 2.16
Ag 0.3333 0.6667 0.0000  6 O 2.18
O 0.3621 0.0048 0.2474  1 Pa 2.16, 1 Ag 2.18, 1 Pm 2.35
O 0.3621 0.3573 0.7526  1 Pa 2.16, 1 Ag 2.18, 1 Pm 2.35
O 0.6427 0.0048 0.7526  1 Pa 2.16, 1 Ag 2.18, 1 Pm 2.35
O 0.6427 0.6379 0.2474  1 Pa 2.16, 1 Ag 2.18, 1 Pm 2.35
O 0.9952 0.3573 0.2474  1 Pa 2.16, 1 Ag 2.18, 1 Pm 2.35
O 0.9952 0.6379 0.7526  1 Pa 2.16, 1 Ag 2.18, 1 Pm 2.35

* space-group type: P312, No. 149
* energy relative to the elements, uncorrected: -2129 meV per atom


[8]
This record from Alexandria describes an optimized crystal structure of LiPmThTl. The functional is PBE.

a b c (Å): 5.4115 5.4115 5.4115
angles (deg): 60.00 60.00 60.00
Closest atoms and distances in Å follow each position.
Fractional coordinates of all 4 atoms:
Li 0.0000 0.0000 0.0000  4 Pm 3.31, 4 Th 3.31
Pm 0.7500 0.7500 0.7500  4 Li 3.31, 4 Tl 3.31
Th 0.2500 0.2500 0.2500  4 Tl 3.31, 4 Li 3.31
Tl 0.5000 0.5000 0.5000  4 Th 3.31, 4 Pm 3.31

* space-group type: F-43m, No. 216
* formation energy from the elements: -0.04 eV/atom


[9]
This record from Alexandria describes an optimized crystal structure of Pr3RhCl2. The functional is PBE.

a b c (Å): 7.7751 7.7751 7.7751
angles (deg): 150.27 134.26 55.51
Closest atoms and distances in Å follow each position.
Fractional coordinates of all 6 atoms:
Pr 0.0000 0.0000 0.0000  2 Rh 3.02, 4 Cl 3.12
Pr 0.3610 0.3610 0.0000  2 Rh 2.76, 2 Cl 3.06
Pr 0.6390 0.6390 0.0000  2 Rh 2.76, 2 Cl 3.06
Rh 0.5000 0.0000 0.5000  6 Pr 2.76-3.02
Cl 0.1746 0.6746 0.5000  6 Pr 3.06-3.25
Cl 0.8254 0.3254 0.5000  6 Pr 3.06-3.25

* space-group type: Immm, No. 71
* energy relative to the elements, uncorrected: -1211 meV per atom


[10]
This record from Alexandria describes an optimized crystal structure of CaRe2Au. The functional is PBE.

a b c (Å): 3.1098 3.1098 7.8379
angles (deg): 90.00 90.00 90.00
Closest atoms and distances in Å follow each position.
Fractional coordinates of all 4 atoms:
Ca 0.0000 0.0000 0.0000  4 Ca 3.11, 4 Au 3.12, 4 Re 3.19
Re 0.0000 0.0000 0.4619  4 Re 2.56
Re 0.5000 0.5000 0.2940  4 Re 2.56
Au 0.5000 0.5000 0.7175  5 Re 2.98-3.32, 4 Au 3.11, 4 Ca 3.12

* space-group type: P4mm, No. 99
* offset from the most stable computed form: 0 meV per atom
* formation energy from the elements: 0.16 eV/atom